Below is a relaxed SrUW crystal, with properties calculated at the GGA-PBE level.

Geometry as POSCAR:
```
SrUW
1.0
0.0000 3.4549 3.4549
3.4549 0.0000 3.4549
3.4549 3.4549 0.0000
Sr U W
1 1 1
direct
0.0000 0.0000 0.0000 Sr
0.5000 0.5000 0.5000 U
0.7500 0.7500 0.7500 W
```

Output
As for the space-group type: F-43m, No. 216. As for the size of the total moment: 0.465 μB per atom. Its distance to the lowest polymorph of the same formula is 0 meV/atom. As for the energy: -7.08 eV per atom.

Below is a relaxed SrYU crystal, with properties calculated at the GGA-PBE level.

Geometry as POSCAR:
```
SrYU
1.0
0.0000 3.9857 3.9857
3.9857 0.0000 3.9857
3.9857 3.9857 0.0000
Sr Y U
1 1 1
direct
0.0000 0.0000 0.0000 Sr
0.2500 0.2500 0.2500 Y
0.5000 0.5000 0.5000 U
```

Output
As for the space-group type: F-43m, No. 216. As for the size of the total moment: 1.661 μB per atom. Its distance to the lowest polymorph of the same formula is 0 meV/atom. As for the energy: -4.95 eV per atom.

Below is a relaxed SrW2 crystal, with properties calculated at the GGA-PBE level.

Geometry as POSCAR:
```
SrW2
1.0
0.0000 7.5120 7.5120
7.5120 0.0000 7.5120
7.5120 7.5120 0.0000
Sr W
2 4
direct
0.1250 0.1250 0.1250 Sr
0.8750 0.8750 0.8750 Sr
0.0000 0.0000 0.0000 W
0.0000 0.0000 0.5000 W
0.0000 0.5000 0.0000 W
0.5000 0.0000 0.0000 W
```

Output
As for the space-group type: Fd-3m, No. 227. As for the size of the total moment: 3.333 μB per atom. As for the energy: -4.39 eV per atom.

Below is a relaxed SrW crystal, with properties calculated at the GGA-PBE level.

Geometry as POSCAR:
```
SrW
1.0
0.0000 3.2424 3.2424
3.2424 0.0000 3.2424
3.2424 3.2424 0.0000
Sr W
1 1
direct
0.0000 0.0000 0.0000 Sr
0.5000 0.5000 0.5000 W
```

Output
As for the space-group type: Fm-3m, No. 225. As for the size of the total moment: 2.015 μB per atom. Its distance to the lowest polymorph of the same formula is 1052 meV/atom. As for the energy: -4.74 eV per atom.

The highest size of the total moment belongs to which entry?
SrW2